(P)
Computed, not measured: a geometry-optimized Zn2MoPt structure at the GGA-PBE level of DFT.

The structure belongs to space group Fm-3m (No. 225); the cell edges are 6.201, 6.201 and 6.201 Å and the angles 90.00°, 90.00° and 90.00°. Symmetry generates all atoms from Zn at (0.250, 0.250, 0.250), Mo at (0.000, 0.000, 0.000) and Pt at (0.000, 0.000, 0.500).

The volume comes out at 238.5 Å³/cell. The size of the total moment comes out at 0.56 μB per atom.

(Q)
Computed, not measured: a geometry-optimized Zn2MoPt structure at the GGA-PBE level of DFT.

The structure belongs to space group P4mm (No. 99); the cell edges are 2.779, 2.779 and 7.776 Å and the angles 90.00°, 90.00° and 90.00°. Symmetry generates all atoms from Zn at (0.000, 0.000, 0.000), Zn at (0.500, 0.500, 0.252), Mo at (0.000, 0.000, 0.505) and Pt at (0.500, 0.500, 0.756).

The volume comes out at 60.1 Å³/cell. The size of the total moment comes out at 0.00 μB per atom.

Least stable of them? (P).

(P)
Computed, not measured: a geometry-optimized Zn2MoPt2 structure at the GGA-PBE level of DFT.

The structure belongs to space group P4/mbm (No. 127); the cell edges are 7.376, 7.376 and 2.778 Å and the angles 90.00°, 90.00° and 90.00°. Symmetry generates all atoms from Zn at (0.122, 0.378, 0.000), Mo at (0.000, 0.000, 0.000) and Pt at (0.177, 0.677, 0.500).

The volume comes out at 151.2 Å³/cell. The size of the total moment comes out at 0.16 μB per atom.

(Q)
Computed, not measured: a geometry-optimized Zn2MoPt2 structure at the GGA-PBE level of DFT.

The structure belongs to space group P4/mbm (No. 127); the cell edges are 7.448, 7.448 and 2.776 Å and the angles 90.00°, 90.00° and 90.00°. Symmetry generates all atoms from Zn at (0.163, 0.337, 0.000), Mo at (0.000, 0.000, 0.500) and Pt at (0.136, 0.636, 0.500).

The volume comes out at 154.0 Å³/cell. The size of the total moment comes out at 0.00 μB per atom.

Least stable of them? (Q).

(P)
Computed, not measured: a geometry-optimized ZrMoPt2 structure at the GGA-PBE level of DFT.

The structure belongs to space group P4mm (No. 99); the cell edges are 2.871, 2.871 and 8.295 Å and the angles 90.00°, 90.00° and 90.00°. Symmetry generates all atoms from Zr at (0.000, 0.000, 0.000), Mo at (0.500, 0.500, 0.277), Pt at (0.000, 0.000, 0.498) and Pt at (0.500, 0.500, 0.749).

The volume comes out at 68.4 Å³/cell. The size of the total moment comes out at 0.00 μB per atom.

(Q)
Computed, not measured: a geometry-optimized ZrMoPt2 structure at the GGA-PBE level of DFT.

The structure belongs to space group Cm (No. 8); the cell edges are 9.451, 2.881 and 5.088 Å and the angles 90.00°, 100.29° and 90.00°. Symmetry generates all atoms from Zr at (0.000, 0.000, 0.000), Mo at (0.248, 0.000, 0.685), Pt at (0.004, 0.500, 0.506) and Pt at (0.252, 0.500, 0.215).

The volume comes out at 136.3 Å³/cell. The size of the total moment comes out at 0.00 μB per atom.

(R)
Computed, not measured: a geometry-optimized ZrMoPt2 structure at the GGA-PBE level of DFT.

The structure belongs to space group R3m (No. 160, hexagonal axes); the cell edges are 2.8594, 2.8594 and 28.9897 Å and the angles 90.00°, 90.00° and 120.00°. Symmetry generates all atoms from Zr at (0.0000, 0.0000, 0.0000), Mo at (0.0000, 0.0000, 0.7588), Pt at (0.0000, 0.0000, 0.2507) and Pt at (0.0000, 0.0000, 0.5007).

The volume comes out at 205.3 Å³/cell. The size of the total moment comes out at 0.00 μB per atom.

(S)
Computed, not measured: a geometry-optimized ZrMoPt2 structure at the GGA-PBE level of DFT.

The structure belongs to space group R-3m (No. 166, hexagonal axes); the cell edges are 2.8550, 2.8550 and 28.6431 Å and the angles 90.00°, 90.00° and 120.00°. Symmetry generates all atoms from Zr at (0.0000, 0.0000, 0.0000), Mo at (0.0000, 0.0000, 0.5000) and Pt at (0.0000, 0.0000, 0.2463).

The volume comes out at 202.2 Å³/cell. The size of the total moment comes out at 0.00 μB per atom.

Least stable of them? (R).

(P)
Computed, not measured: a geometry-optimized ZrMoPt2 structure at the GGA-PBE level of DFT.

The structure belongs to space group F-43m (No. 216); the cell edges are 6.479, 6.479 and 6.479 Å and the angles 90.00°, 90.00° and 90.00°. Symmetry generates all atoms from Zr at (0.000, 0.000, 0.000), Mo at (0.250, 0.250, 0.250), Pt at (0.000, 0.000, 0.500) and Pt at (0.250, 0.250, 0.750).

The volume comes out at 272.0 Å³/cell. The size of the total moment comes out at 0.00 μB per atom.

(Q)
Computed, not measured: a geometry-optimized ZrMoPt2 structure at the GGA-PBE level of DFT.

The structure belongs to space group Fm-3m (No. 225); the cell edges are 6.539, 6.539 and 6.539 Å and the angles 90.00°, 90.00° and 90.00°. Symmetry generates all atoms from Zr at (0.000, 0.000, 0.000), Mo at (0.000, 0.000, 0.500) and Pt at (0.250, 0.250, 0.250).

The volume comes out at 279.7 Å³/cell. The size of the total moment comes out at 0.00 μB per atom.

Least stable of them? (Q).

(P)
Computed, not measured: a geometry-optimized ZrMoPt2 structure at the GGA-PBE level of DFT.

The structure belongs to space group C2/m (No. 12); the cell edges are 9.545, 2.894 and 4.995 Å and the angles 90.00°, 99.97° and 90.00°. Symmetry generates all atoms from Zr at (0.000, 0.000, 0.000), Mo at (0.000, 0.500, 0.500) and Pt at (0.245, 0.000, 0.738).

The volume comes out at 135.9 Å³/cell. The size of the total moment comes out at 0.00 μB per atom.

(Q)
Computed, not measured: a geometry-optimized ZrMoPt2 structure at the GGA-PBE level of DFT.

The structure belongs to space group Cmmm (No. 65); the cell edges are 5.680, 8.217 and 2.861 Å and the angles 90.00°, 90.00° and 90.00°. Symmetry generates all atoms from Zr at (0.000, 0.000, 0.000), Mo at (0.000, 0.500, 0.000) and Pt at (0.250, 0.250, 0.500).

The volume comes out at 133.6 Å³/cell. The size of the total moment comes out at 0.00 μB per atom.

(R)
Computed, not measured: a geometry-optimized ZrMoPt2 structure at the GGA-PBE level of DFT.

The structure belongs to space group P4/mmm (No. 123); the cell edges are 2.849, 2.849 and 8.232 Å and the angles 90.00°, 90.00° and 90.00°. Symmetry generates all atoms from Zr at (0.000, 0.000, 0.000), Mo at (0.000, 0.000, 0.500) and Pt at (0.500, 0.500, 0.263).

The volume comes out at 66.8 Å³/cell. The size of the total moment comes out at 0.04 μB per atom.

Least stable of them? (P).

(P)
Computed, not measured: a geometry-optimized ZrMoPt2 structure at the GGA-PBE level of DFT.

The structure belongs to space group P2/m (No. 10); the cell edges are 2.841, 4.128 and 5.705 Å and the angles 90.00°, 90.09° and 90.00°. Symmetry generates all atoms from Zr at (0.000, 0.000, 0.000), Mo at (0.000, 0.000, 0.500) and Pt at (0.500, 0.500, 0.262).

The volume comes out at 66.9 Å³/cell. The size of the total moment comes out at 0.00 μB per atom.

(Q)
Computed, not measured: a geometry-optimized ZrMoPt2 structure at the GGA-PBE level of DFT.

The structure belongs to space group I-4m2 (No. 119); the cell edges are 4.060, 4.060 and 8.249 Å and the angles 90.00°, 90.00° and 90.00°. Symmetry generates all atoms from Zr at (0.000, 0.000, 0.000), Mo at (0.000, 0.500, 0.750), Pt at (0.000, 0.000, 0.500) and Pt at (0.000, 0.500, 0.250).

The volume comes out at 136.0 Å³/cell. The size of the total moment comes out at 0.37 μB per atom.

Least stable of them? (Q).

(P)
Computed, not measured: a geometry-optimized ZrMoPt2 structure at the GGA-PBE level of DFT.

The structure belongs to space group P4/mmm (No. 123); the cell edges are 4.021, 4.021 and 4.133 Å and the angles 90.00°, 90.00° and 90.00°. Symmetry generates all atoms from Zr at (0.000, 0.000, 0.000), Mo at (0.500, 0.500, 0.000) and Pt at (0.000, 0.500, 0.500).

The volume comes out at 66.8 Å³/cell. The size of the total moment comes out at 0.00 μB per atom.

(Q)
Computed, not measured: a geometry-optimized ZrMoPt2 structure at the GGA-PBE level of DFT.

The structure belongs to space group Pmm2 (No. 25); the cell edges are 3.264, 3.556 and 5.992 Å and the angles 90.00°, 90.00° and 90.00°. Symmetry generates all atoms from Zr at (0.000, 0.000, 0.000), Mo at (0.500, 0.500, 0.300), Pt at (0.000, 0.000, 0.498) and Pt at (0.500, 0.500, 0.769).

The volume comes out at 69.5 Å³/cell. The size of the total moment comes out at 0.00 μB per atom.

(R)
Computed, not measured: a geometry-optimized ZrMoPt2 structure at the GGA-PBE level of DFT.

The structure belongs to space group P4/mmm (No. 123); the cell edges are 3.519, 3.519 and 5.603 Å and the angles 90.00°, 90.00° and 90.00°. Symmetry generates all atoms from Zr at (0.000, 0.000, 0.000), Mo at (0.000, 0.000, 0.500) and Pt at (0.500, 0.500, 0.260).

The volume comes out at 69.4 Å³/cell. The size of the total moment comes out at 0.15 μB per atom.

(S)
Computed, not measured: a geometry-optimized ZrMoPt2 structure at the GGA-PBE level of DFT.

The structure belongs to space group I-42d (No. 122); the cell edges are 3.988, 3.988 and 18.604 Å and the angles 90.00°, 90.00° and 90.00°. Symmetry generates all atoms from Zr at (0.000, 0.000, 0.000), Mo at (0.000, 0.000, 0.500) and Pt at (0.241, 0.250, 0.625).

The volume comes out at 295.9 Å³/cell. The size of the total moment comes out at 0.00 μB per atom.

Least stable of them? (S).

(P)
Computed, not measured: a geometry-optimized Zr3MoPt structure at the GGA-PBE level of DFT.

The structure belongs to space group Pm-3m (No. 221); the cell edges are 5.054, 5.054 and 5.054 Å and the angles 90.00°, 90.00° and 90.00°. Symmetry generates all atoms from Zr at (0.000, 0.000, 0.500), Mo at (0.500, 0.500, 0.500) and Pt at (0.000, 0.000, 0.000).

The volume comes out at 129.1 Å³/cell. The size of the total moment comes out at 0.43 μB per atom.

(Q)
Computed, not measured: a geometry-optimized Zr3MoPt structure at the GGA-PBE level of DFT.

The structure belongs to space group Pm-3m (No. 221); the cell edges are 4.950, 4.950 and 4.950 Å and the angles 90.00°, 90.00° and 90.00°. Symmetry generates all atoms from Zr at (0.000, 0.000, 0.500), Mo at (0.000, 0.000, 0.000) and Pt at (0.500, 0.500, 0.500).

The volume comes out at 121.3 Å³/cell. The size of the total moment comes out at 0.00 μB per atom.

Least stable of them? (P).